Entry 1:
DFT (PBE) results for a relaxed structure of ThNi3B.

Results
**Final energy**: -0.2424 Ha/atom
**Energy of formation**: -0.308 eV/atom
**Spin magnetization**: 0.00 μB per formula unit
**Calculated density**: 10.004 g/cm³

a b c (Å): 5.6705 5.6705 4.9936
angles (deg): 90.00 90.00 120.00
With the nearest neighbours (Å) after each atom.
Atoms (fractional coordinates):
1 Th 0.3333 0.6667 0.2500  12 Ni 2.84-2.98
2 Th 0.6667 0.3333 0.7500  12 Ni 2.84-2.98
3 Ni 0.1682 0.3363 0.7500  2 B 2.07
4 Ni 0.1682 0.8318 0.7500  2 B 2.07
5 Ni 0.3363 0.1682 0.2500  2 B 2.07
6 Ni 0.6637 0.8318 0.7500  2 B 2.07
7 Ni 0.8318 0.1682 0.2500  2 B 2.07
8 Ni 0.8318 0.6637 0.2500  2 B 2.07
9 B 0.0000 0.0000 0.0000  6 Ni 2.07
10 B 0.0000 0.0000 0.5000  6 Ni 2.07

Entry 2:
DFT (PBE) results for a relaxed structure of PaTlSe4.

Results
**Final energy**: -0.1901 Ha/atom
**Excess energy over the best structure of this formula in the dataset**: 0.000 eV/atom
**Spin magnetization**: 0.00 μB per formula unit
**Calculated density**: 7.205 g/cm³

a b c (Å): 6.5199 6.5199 8.2651
angles (deg): 90.00 90.00 99.74
With the nearest neighbours (Å) after each atom.
Atoms (fractional coordinates):
1 Pa 0.2500 0.2500 0.0000  8 Se 2.79-3.07
2 Pa 0.7500 0.7500 0.0000  8 Se 2.79-3.07
3 Tl 0.2500 0.2500 0.5000  8 Se 3.36-3.69
4 Tl 0.7500 0.7500 0.5000  8 Se 3.36-3.69
5 Se 0.0826 0.9174 0.8007  2 Pa 2.79
6 Se 0.1052 0.6052 0.1887  1 Se 2.43
7 Se 0.3948 0.8948 0.1887  1 Se 2.43
8 Se 0.4174 0.5826 0.8007  2 Pa 2.79
9 Se 0.5826 0.4174 0.1993  2 Pa 2.79
10 Se 0.6052 0.1052 0.8113  1 Se 2.43
11 Se 0.8948 0.3948 0.8113  1 Se 2.43
12 Se 0.9174 0.0826 0.1993  2 Pa 2.79

Entry 3:
DFT (PBE) results for a relaxed structure of SrTaMn.

Results
**Final energy**: -0.2335 Ha/atom
**Excess energy over the best structure of this formula in the dataset**: 0.666 eV/atom
**Energy of formation**: 1.215 eV/atom
**Spin magnetization**: 0.31 μB per formula unit
**Calculated density**: 7.352 g/cm³

a b c (Å): 4.6927 4.6927 4.6927
angles (deg): 60.00 60.00 60.00
With the nearest neighbours (Å) after each atom.
Atoms (fractional coordinates):
1 Sr 0.0000 0.0000 0.0000  4 Mn 2.87
2 Ta 0.5000 0.5000 0.5000  4 Mn 2.87
3 Mn 0.2500 0.2500 0.2500  4 Ta 2.87, 4 Sr 2.87

Entry 4:
DFT (PBE) results for a relaxed structure of Mg2CuPd6.

Results
**Final energy**: -0.1596 Ha/atom
**Excess energy over the best structure of this formula in the dataset**: 0.371 eV/atom
**Energy of formation**: -0.073 eV/atom
**Spin magnetization**: 0.00 μB per formula unit
**Calculated density**: 7.920 g/cm³

a b c (Å): 7.2551 7.2551 4.2322
angles (deg): 106.84 106.84 48.16
With the nearest neighbours (Å) after each atom.
Atoms (fractional coordinates):
1 Mg 0.1658 0.1658 0.1659  8 Pd 2.59
2 Mg 0.8342 0.8342 0.8341  8 Pd 2.59
3 Cu 0.5000 0.5000 0.5000  8 Pd 2.53-2.55
4 Pd 0.0883 0.5839 0.3360  1 Cu 2.53, 3 Mg 2.59
5 Pd 0.2596 0.7404 0.0000  2 Cu 2.55, 2 Mg 2.59, 1 Pd 2.85
6 Pd 0.4161 0.9117 0.6640  1 Cu 2.53, 3 Mg 2.59
7 Pd 0.5839 0.0883 0.3360  1 Cu 2.53, 3 Mg 2.59
8 Pd 0.7404 0.2596 0.0000  2 Cu 2.55, 2 Mg 2.59, 1 Pd 2.85
9 Pd 0.9117 0.4161 0.6640  1 Cu 2.53, 3 Mg 2.59